# 1
! PmHo4Ga15 (PBE, optimized geometry); values from VASP
! Crystal system   tetragonal
! Energy of formation   -10.63 eV/f.u.
! Symmetry   P4/mmm (123)
! Density of states at the Fermi level   8.3 states/eV/f.u.
&SYSTEM
  ibrav = 0, nat = 20, ntyp = 3
/
ATOMIC_SPECIES
Pm 145.00 Pm.upf
Ho 164.93 Ho.upf
Ga 69.72 Ga.upf
CELL_PARAMETERS angstrom
4.287 0.000 0.000
0.000 4.287 0.000
0.000 0.000 21.346
ATOMIC_POSITIONS angstrom
Pm 0.000 0.000 0.000
Ho 0.000 0.000 4.322
Ho 0.000 0.000 8.553
Ho 0.000 0.000 12.793
Ho 0.000 0.000 17.024
Ga 0.000 2.143 2.204
Ga 0.000 2.143 6.433
Ga 0.000 2.143 10.673
Ga 0.000 2.143 14.913
Ga 0.000 2.143 19.142
Ga 2.143 0.000 2.204
Ga 2.143 0.000 6.433
Ga 2.143 0.000 10.673
Ga 2.143 0.000 14.913
Ga 2.143 0.000 19.142
Ga 2.143 2.143 0.000
Ga 2.143 2.143 4.291
Ga 2.143 2.143 8.560
Ga 2.143 2.143 12.786
Ga 2.143 2.143 17.055

# 2
! AlTc2P (PBE, optimized geometry); values from VASP
! Crystal system   monoclinic
! ΔE to the lowest computed polymorph   53.7 kJ/mol of formula units
! Energy of formation   -0.99 eV/f.u.
! Symmetry   C2/m (12)
! Density of states at the Fermi level   2.0 states/eV/f.u.
&SYSTEM
  ibrav = 0, nat = 4, ntyp = 3
/
ATOMIC_SPECIES
Al 26.98 Al.upf
Tc 98.00 Tc.upf
P 30.97 P.upf
CELL_PARAMETERS angstrom
4.199 -1.497 0.000
4.199 1.497 0.000
-1.416 0.000 4.517
ATOMIC_POSITIONS angstrom
Al 0.000 0.000 0.000
Tc 0.831 0.000 3.244
Tc 6.151 0.000 1.273
P 3.491 0.000 2.258